# 1
The following is a PBE-GGA calculation of a relaxed TaCdAu3 crystal, from the Alexandria database.

a b c (Å): 5.1564 5.1564 5.1564
angles (deg): 90.00 90.00 90.00
With the nearest neighbours (Å) after each atom.
Atoms (fractional coordinates):
Cd1 0.5000 0.5000 0.5000  12 Au 3.65
Au1 0.0000 0.5000 0.0000  2 Ta 2.58
Au2 0.0000 0.0000 0.5000  2 Ta 2.58
Au3 0.5000 0.0000 0.0000  2 Ta 2.58
Ta1 0.0000 0.0000 0.0000  6 Au 2.58

* total energy: -3.711 eV/atom
* energy of formation from the pure elements: 0.8086 eV per atom
* volume: 137.10 Å³ per cell
* E above lowest polymorph: 0 meV/atom
* space-group type: No. 221


# 2
The following is a PBE-GGA calculation of a relaxed Ta2CdAu crystal, from the Alexandria database.

a b c (Å): 5.7310 5.7310 5.7310
angles (deg): 149.23 127.44 62.15
With the nearest neighbours (Å) after each atom.
Atoms (fractional coordinates):
Cd1 0.2583 0.7583 0.5000  2 Au 2.90, 6 Ta 2.96-3.09, 2 Cd 3.04
Ta1 0.9845 0.9845 0.0000  4 Ta 2.78-3.04, 4 Au 2.97, 2 Cd 3.09
Ta2 0.7475 0.2475 0.5000  4 Ta 2.78-3.04, 2 Au 2.79, 4 Cd 2.96
Au1 0.5097 0.5097 0.0000  6 Ta 2.79-2.97, 2 Cd 2.90, 2 Au 3.04

* total energy: -6.766 eV/atom
* energy of formation from the pure elements: 0.2082 eV per atom
* volume: 75.75 Å³ per cell
* space-group type: No. 44


# 3
The following is a PBE-GGA calculation of a relaxed Ta2CdAu crystal, from the Alexandria database.

a b c (Å): 4.5070 2.8086 6.0521
angles (deg): 76.43 90.00 90.00
With the nearest neighbours (Å) after each atom.
Atoms (fractional coordinates):
Cd1 0.5000 0.5581 0.7568  2 Au 2.75, 2 Cd 2.81, 5 Ta 2.94-3.01
Ta1 0.5000 0.3094 0.2571  6 Ta 2.81-3.07, 1 Cd 2.94, 4 Au 2.98-2.99
Ta2 0.0000 0.9380 0.9976  6 Ta 2.81-3.07, 1 Au 2.89, 4 Cd 3.01
Au1 0.0000 0.6946 0.4885  2 Cd 2.75, 2 Au 2.81, 5 Ta 2.89-2.99

* total energy: -6.795 eV/atom
* energy of formation from the pure elements: 0.1790 eV per atom
* volume: 74.47 Å³ per cell
* space-group type: No. 6


# 4
The following is a PBE-GGA calculation of a relaxed TaCd2Au crystal, from the Alexandria database.

a b c (Å): 7.7202 7.7202 6.1528
angles (deg): 51.14 51.14 90.00
With the nearest neighbours (Å) after each atom.
Atoms (fractional coordinates):
Cd1 0.3750 0.3631 0.7500  2 Au 2.76, 2 Cd 2.84, 2 Ta 2.88
Cd2 0.6369 0.1250 0.2500  2 Au 2.76, 2 Cd 2.84, 2 Ta 2.88
Cd3 0.8750 0.8869 0.7500  2 Au 2.76, 2 Cd 2.84, 2 Ta 2.88
Cd4 0.1131 0.6250 0.2500  2 Au 2.76, 2 Cd 2.84, 2 Ta 2.88
Ta1 0.2500 0.7500 0.5000  2 Au 2.84, 4 Cd 2.88
Ta2 0.5000 0.5000 0.0000  2 Au 2.84, 4 Cd 2.88
Au1 0.0000 0.0000 0.0000  4 Cd 2.76, 2 Ta 2.84
Au2 0.7500 0.2500 0.5000  4 Cd 2.76, 2 Ta 2.84

* total energy: -3.662 eV/atom
* energy of formation from the pure elements: 0.5784 eV per atom
* volume: 169.17 Å³ per cell
* E above lowest polymorph: 537 meV/atom
* space-group type: No. 122


# 5
The following is a PBE-GGA calculation of a relaxed Ta2CdAu crystal, from the Alexandria database.

a b c (Å): 2.9044 2.9045 8.7088
angles (deg): 90.00 90.00 90.04
With the nearest neighbours (Å) after each atom.
Atoms (fractional coordinates):
Cd1 0.5000 0.5000 0.7500  4 Cd 2.90, 8 Ta 3.06
Ta1 0.0000 0.0000 0.0100  4 Ta 2.90, 4 Au 2.93, 4 Cd 3.06
Ta2 0.0000 0.0000 0.4900  4 Ta 2.90, 4 Au 2.93, 4 Cd 3.06
Au1 0.5000 0.5000 0.2500  4 Au 2.90, 8 Ta 2.93

* total energy: -6.817 eV/atom
* energy of formation from the pure elements: 0.1570 eV per atom
* volume: 73.47 Å³ per cell
* space-group type: No. 123


# 6
The following is a PBE-GGA calculation of a relaxed TaCd2Au crystal, from the Alexandria database.

a b c (Å): 4.4800 2.9112 6.1630
angles (deg): 75.63 90.00 90.00
With the nearest neighbours (Å) after each atom.
Atoms (fractional coordinates):
Au1 0.5000 0.9500 0.7174  3 Cd 2.84-2.85, 4 Ta 2.89-2.90, 2 Au 2.91
Cd1 0.5000 0.1953 0.2413  1 Au 2.84, 6 Cd 2.91-3.02, 2 Ta 3.17
Cd2 0.0000 0.8071 0.0112  2 Au 2.85, 6 Cd 2.91-3.02, 1 Ta 3.10
Ta1 0.0000 0.5475 0.5301  4 Au 2.89-2.90, 2 Ta 2.91, 7 Cd 3.10-3.24

* total energy: -4.097 eV/atom
* energy of formation from the pure elements: 0.1428 eV per atom
* volume: 77.86 Å³ per cell
* E above lowest polymorph: 101 meV/atom
* space-group type: No. 6


# 7
The following is a PBE-GGA calculation of a relaxed Ta2CdAu crystal, from the Alexandria database.

a b c (Å): 5.3333 5.3333 5.0340
angles (deg): 80.21 80.21 31.76
With the nearest neighbours (Å) after each atom.
Atoms (fractional coordinates):
Au1 0.2500 0.2500 0.2500  4 Cd 2.91, 2 Au 2.92, 6 Ta 2.99-3.07
Ta1 0.9963 0.9963 0.0067  6 Ta 2.86-2.96, 3 Au 2.99-3.07, 3 Cd 3.03-3.06
Ta2 0.5037 0.5037 0.4933  6 Ta 2.86-2.96, 3 Au 2.99-3.07, 3 Cd 3.03-3.06
Cd1 0.7500 0.7500 0.7500  4 Au 2.91, 2 Cd 2.92, 6 Ta 3.03-3.06

* total energy: -6.799 eV/atom
* energy of formation from the pure elements: 0.1754 eV per atom
* volume: 74.17 Å³ per cell
* space-group type: No. 12


# 8
The following is a PBE-GGA calculation of a relaxed Ta2CdAu crystal, from the Alexandria database.

a b c (Å): 4.7404 4.7404 4.7404
angles (deg): 60.00 60.00 60.00
With the nearest neighbours (Å) after each atom.
Atoms (fractional coordinates):
Ta1 0.0000 0.0000 0.0000  4 Cd 2.90, 4 Ta 2.90
Ta2 0.7500 0.7500 0.7500  4 Au 2.90, 4 Ta 2.90
Au1 0.5000 0.5000 0.5000  4 Cd 2.90, 4 Ta 2.90
Cd1 0.2500 0.2500 0.2500  4 Ta 2.90, 4 Au 2.90

* total energy: -6.536 eV/atom
* energy of formation from the pure elements: 0.4387 eV per atom
* volume: 75.32 Å³ per cell
* space-group type: No. 216


# 9
The following is a PBE-GGA calculation of a relaxed Ta2CdAu crystal, from the Alexandria database.

a b c (Å): 3.4686 3.4686 6.2510
angles (deg): 90.00 90.00 90.00
With the nearest neighbours (Å) after each atom.
Atoms (fractional coordinates):
Ta1 0.0000 0.0000 0.0200  4 Ta 2.80, 4 Cd 3.00, 1 Au 3.01
Ta2 0.5000 0.5000 0.2357  4 Ta 2.80, 4 Au 2.96, 1 Cd 3.08
Cd1 0.5000 0.5000 0.7435  4 Au 2.88, 6 Ta 3.00-3.17
Au1 0.0000 0.0000 0.5009  4 Cd 2.88, 5 Ta 2.96-3.01

* total energy: -6.848 eV/atom
* energy of formation from the pure elements: 0.1265 eV per atom
* volume: 75.21 Å³ per cell
* space-group type: No. 99


# 10
The following is a PBE-GGA calculation of a relaxed TaCd2Au crystal, from the Alexandria database.

a b c (Å): 4.7752 4.7752 4.7752
angles (deg): 60.00 60.00 60.00
With the nearest neighbours (Å) after each atom.
Atoms (fractional coordinates):
Cd1 0.7500 0.7500 0.7500  4 Ta 2.92, 4 Au 2.92
Cd2 0.2500 0.2500 0.2500  4 Au 2.92, 4 Ta 2.92
Au1 0.5000 0.5000 0.5000  8 Cd 2.92
Ta1 0.0000 0.0000 0.0000  8 Cd 2.92

* total energy: -3.787 eV/atom
* energy of formation from the pure elements: 0.4534 eV per atom
* volume: 76.99 Å³ per cell
* E above lowest polymorph: 412 meV/atom
* space-group type: No. 225